Computed, not measured: a relaxed structure of CoSiSe2N at the GGA-PBEsol level of DFT.

abc: 3.2206 4.9766 4.9766
angles: 90.00 90.00 90.00
With the nearest neighbours (Å) after each atom.
Element x y z (fractional)
Si (0.0000, 0.0000, 0.0000)  2 N 1.61
Co (0.5000, 0.5000, 0.5000)  8 Se 2.96, 2 Co 3.22
Se (0.0000, 0.0000, 0.5000)  2 Si 2.49
Se (0.0000, 0.5000, 0.0000)  2 Si 2.49
N (0.5000, 0.0000, 0.0000)  2 Si 1.61

Calculated values
Energy relative to the lowest polymorph listed for this composition: 155 meV/atom
Formation energy without anion corrections: 0.50 eV/atom

=====

Computed, not measured: a relaxed structure of ZnCoSeN2 at the GGA-PBEsol level of DFT.

abc: 3.5579 3.5579 5.1508
angles: 90.00 90.00 90.00
With the nearest neighbours (Å) after each atom.
Element x y z (fractional)
Zn (0.5000, 0.5000, 0.5000)  4 Se 2.52
Co (0.0000, 0.0000, 0.0000)  4 N 1.78
Se (0.0000, 0.0000, 0.5000)  4 Zn 2.52, 2 Co 2.58
N (0.0000, 0.5000, 0.0000)  2 Co 1.78
N (0.5000, 0.0000, 0.0000)  2 Co 1.78

Calculated values
Formation energy without anion corrections: 0.74 eV/atom

=====

Computed, not measured: a relaxed structure of CoSiTeN2 at the GGA-PBEsol level of DFT.

abc: 3.4685 3.4685 6.3769
angles: 90.00 90.00 90.00
With the nearest neighbours (Å) after each atom.
Element x y z (fractional)
Si (0.0000, 0.0000, 0.0000)  4 N 1.73
Te (0.0000, 0.0000, 0.5000)  4 Co 2.45
Co (0.5000, 0.5000, 0.5000)  4 Te 2.45
N (0.0000, 0.5000, 0.0000)  2 Si 1.73
N (0.5000, 0.0000, 0.0000)  2 Si 1.73

Calculated values
Formation energy without anion corrections: 0.71 eV/atom